# 1
A relaxed structure of RbThPb. Source: Alexandria, functional PBE-GGA.

Calculated values
- E_form: -12.4 kJ/mol of atoms

The structure in CIF format:
```
data_RbThPb
_cell_length_a 6.033
_cell_length_b 6.046
_cell_length_c 14.394
_cell_angle_alpha 90.00
_cell_angle_beta 90.65
_cell_angle_gamma 90.00
_symmetry_space_group_name_H-M 'C 1 2/m 1'
_symmetry_Int_Tables_number 12
loop_
_symmetry_equiv_pos_as_xyz
'x,y,z'
'-x,-y,-z'
'-x,y,-z'
'x,-y,z'
'x+1/2,y+1/2,z'
'-x+1/2,-y+1/2,-z'
'-x+1/2,y+1/2,-z'
'x+1/2,-y+1/2,z'
loop_
_atom_site_label
_atom_site_fract_x
_atom_site_fract_y
_atom_site_fract_z
Rb1 0.240 0.000 0.155
Th1 0.248 0.000 0.435
Pb1 0.245 0.500 0.332
```



# 2
A relaxed structure of MnCdSb2Te. Source: Alexandria, functional PBE-GGA.

Calculated values
- Relative energy among the computed polymorphs: 1131 meV per atom
- ΔE_f (raw): 1514 meV/atom

The structure in CIF format:
```
data_MnCdSb2Te
_cell_length_a 5.431
_cell_length_b 5.431
_cell_length_c 5.559
_cell_angle_alpha 90.00
_cell_angle_beta 90.00
_cell_angle_gamma 90.00
_symmetry_space_group_name_H-M 'P 4/m m m'
_symmetry_Int_Tables_number 123
_symmetry_space_group_name_Hall '-P 4 2'
loop_
_atom_site_label
_atom_site_fract_x
_atom_site_fract_y
_atom_site_fract_z
Mn1 0.000 0.000 0.000
Cd1 0.500 0.500 0.500
Sb1 0.000 0.500 0.500
Te1 0.500 0.500 0.000
```



# 3
A relaxed structure of Ca2BrCl3. Source: Alexandria, functional PBE-GGA.

Calculated values
- ΔE_f (raw): -2301 meV/atom

The structure in CIF format:
```
data_Ca2BrCl3
_cell_length_a 17.737
_cell_length_b 4.186
_cell_length_c 13.278
_cell_angle_alpha 90.00
_cell_angle_beta 126.74
_cell_angle_gamma 90.00
_symmetry_space_group_name_H-M 'C 1 2/m 1'
_symmetry_Int_Tables_number 12
loop_
_symmetry_equiv_pos_as_xyz
'x,y,z'
'-x,-y,-z'
'-x,y,-z'
'x,-y,z'
'x+1/2,y+1/2,z'
'-x+1/2,-y+1/2,-z'
'-x+1/2,y+1/2,-z'
'x+1/2,-y+1/2,z'
loop_
_atom_site_label
_atom_site_fract_x
_atom_site_fract_y
_atom_site_fract_z
Ca1 0.126 0.000 0.377
Ca2 0.126 0.500 0.877
Br1 0.064 0.000 0.690
Cl1 0.059 0.500 0.205
Cl2 0.189 0.000 0.045
Cl3 0.192 0.500 0.548
```



Asked for mass density across the records above, the calculation gives 6.64; 5.45; 2.24 g cm⁻³ in order.